# 1
A relaxed Pm12CdCo5 crystal. Source: Alexandria, functional PBE.

Values from the calculation:
- total magnetic moment (μB/f.u.) = 0.00
- crystal system = orthorhombic
- DFT total energy (Ry per atom) = -0.3907
- density of states at the Fermi level (states/eV/f.u.) = 16.97

Lattice parameters (Å, degrees): 9.702 9.833 9.990 90.00 90.00 90.00
Space group Immm (No. 71)
Inequivalent atoms, fractional coordinates:
1 Pm 0.000 0.192 0.200 x8
2 Pm 0.194 0.500 0.184 x8
3 Pm 0.203 0.316 0.500 x8
4 Cd 0.000 0.000 0.500 x2
5 Co 0.000 0.000 0.000 x2
6 Co 0.000 0.380 0.000 x4
7 Co 0.000 0.500 0.387 x4

# 2
A relaxed Pm2CdCo2 crystal. Source: Alexandria, functional PBE.

Values from the calculation:
- total magnetic moment (μB/f.u.) = 1.67
- crystal system = orthorhombic
- DFT total energy (Ry per atom) = -0.3771
- density of states at the Fermi level (states/eV/f.u.) = 4.43

Lattice parameters (Å, degrees): 3.907 13.939 4.054 90.00 90.00 90.00
Space group Cmmm (No. 65)
Inequivalent atoms, fractional coordinates:
1 Pm 0.000 0.136 0.000 x4
2 Cd 0.000 0.500 0.500 x2
3 Co 0.000 0.290 0.500 x4

# 3
A relaxed Pm2CdCo crystal. Source: Alexandria, functional PBE.

Values from the calculation:
- total magnetic moment (μB/f.u.) = 0.70
- crystal system = tetragonal
- energy above the lowest structure with this stoichiometry (meV/atom) = 0.0
- density of states at the Fermi level (states/eV/f.u.) = 3.22

Lattice parameters (Å, degrees): 3.521 3.521 7.847 90.00 90.00 90.00
Space group P4/mmm (No. 123)
Inequivalent atoms, fractional coordinates:
1 Pm 0.000 0.000 0.213 x2
2 Cd 0.500 0.500 0.500 x1
3 Co 0.500 0.500 0.000 x1

# 4
A relaxed Pm3CdCo2 crystal. Source: Alexandria, functional PBE.

Values from the calculation:
- total magnetic moment (μB/f.u.) = 1.24
- crystal system = tetragonal
- energy above the lowest structure with this stoichiometry (meV/atom) = 26.0
- density of states at the Fermi level (states/eV/f.u.) = 4.53

Lattice parameters (Å, degrees): 3.474 3.474 11.436 90.00 90.00 90.00
Space group P4/mmm (No. 123)
Inequivalent atoms, fractional coordinates:
1 Pm 0.000 0.000 0.000 x1
2 Pm 0.000 0.000 0.299 x2
3 Cd 0.500 0.500 0.500 x1
4 Co 0.500 0.500 0.156 x2

# 5
A relaxed Pm5CdCo crystal. Source: Alexandria, functional PBE.

Values from the calculation:
- total magnetic moment (μB/f.u.) = 0.00
- crystal system = triclinic
- DFT total energy (Ry per atom) = -0.3362
- density of states at the Fermi level (states/eV/f.u.) = 7.96

Lattice parameters (Å, degrees): 5.999 6.402 11.638 93.98 103.44 107.35
Space group P-1 (No. 2)
Inequivalent atoms, fractional coordinates:
1 Pm 0.032 0.391 0.129 x2
2 Pm 0.180 0.998 0.634 x2
3 Pm 0.261 0.586 0.433 x2
4 Pm 0.270 0.001 0.237 x2
5 Pm 0.398 0.221 0.946 x2
6 Cd 0.331 0.520 0.725 x2
7 Co 0.000 0.000 0.000 x1
8 Co 0.500 0.000 0.500 x1

# 6
A relaxed Pr8CdCo2 crystal. Source: Alexandria, functional PBE.

Values from the calculation:
- total magnetic moment (μB/f.u.) = 0.00
- crystal system = monoclinic
- energy above the lowest structure with this stoichiometry (meV/atom) = 0.0
- density of states at the Fermi level (states/eV/f.u.) = 12.68

Lattice parameters (Å, degrees): 12.749 8.337 6.504 90.00 92.37 90.00
Space group C2/m (No. 12)
Inequivalent atoms, fractional coordinates:
1 Pr 0.112 0.000 0.193 x4
2 Pr 0.131 0.500 0.086 x4
3 Pr 0.150 0.217 0.681 x8
4 Cd 0.000 0.500 0.500 x2
5 Co 0.217 0.500 0.510 x4

# 7
A relaxed Pr12CdCo6 crystal. Source: Alexandria, functional PBE.

Values from the calculation:
- total magnetic moment (μB/f.u.) = 0.00
- crystal system = cubic
- DFT total energy (Ry per atom) = -0.3973
- density of states at the Fermi level (states/eV/f.u.) = 15.78

Lattice parameters (Å, degrees): 10.095 10.095 10.095 90.00 90.00 90.00
Space group Im-3 (No. 204)
Inequivalent atoms, fractional coordinates:
1 Pr 0.000 0.193 0.307 x24
2 Cd 0.000 0.000 0.000 x2
3 Co 0.000 0.389 0.500 x12

# 8
A relaxed Pr3CdCo crystal. Source: Alexandria, functional PBE.

Values from the calculation:
- total magnetic moment (μB/f.u.) = 0.00
- crystal system = cubic
- energy above the lowest structure with this stoichiometry (meV/atom) = 58.3
- density of states at the Fermi level (states/eV/f.u.) = 4.55

Lattice parameters (Å, degrees): 5.345 5.345 5.345 90.00 90.00 90.00
Space group Pm-3m (No. 221)
Inequivalent atoms, fractional coordinates:
1 Pr 0.000 0.000 0.500 x3
2 Cd 0.500 0.500 0.500 x1
3 Co 0.000 0.000 0.000 x1

# 9
A relaxed Pr8Cd2Co crystal. Source: Alexandria, functional PBE.

Values from the calculation:
- total magnetic moment (μB/f.u.) = 0.00
- crystal system = monoclinic
- DFT total energy (Ry per atom) = -0.3203
- density of states at the Fermi level (states/eV/f.u.) = 13.87

Lattice parameters (Å, degrees): 18.022 5.649 7.075 90.00 110.29 90.00
Space group C2/m (No. 12)
Inequivalent atoms, fractional coordinates:
1 Pr 0.014 0.000 0.281 x4
2 Pr 0.093 0.500 0.908 x4
3 Pr 0.145 0.500 0.438 x4
4 Pr 0.202 0.000 0.769 x4
5 Cd 0.180 0.000 0.200 x4
6 Co 0.000 0.500 0.500 x2

# 10
A relaxed Pr6CdCo2 crystal. Source: Alexandria, functional PBE.

Values from the calculation:
- total magnetic moment (μB/f.u.) = 0.00
- crystal system = monoclinic
- energy above the lowest structure with this stoichiometry (meV/atom) = 77.1
- density of states at the Fermi level (states/eV/f.u.) = 9.14

Lattice parameters (Å, degrees): 10.403 5.239 9.256 90.00 101.68 90.00
Space group C2/m (No. 12)
Inequivalent atoms, fractional coordinates:
1 Pr 0.034 0.000 0.348 x4
2 Pr 0.164 0.500 0.877 x4
3 Pr 0.206 0.500 0.339 x4
4 Cd 0.000 0.000 0.000 x2
5 Co 0.110 0.500 0.588 x4

# 11
A relaxed Pr2CdCo crystal. Source: Alexandria, functional PBE.

Values from the calculation:
- total magnetic moment (μB/f.u.) = 0.00
- crystal system = trigonal
- energy above the lowest structure with this stoichiometry (meV/atom) = 236.5
- density of states at the Fermi level (states/eV/f.u.) = 2.70

Lattice parameters (Å, degrees): 3.9333 3.9333 29.8632 90.00 90.00 120.00
Space group R-3m (No. 166, hexagonal axes)
Inequivalent atoms, fractional coordinates:
1 Pr 0.0000 0.0000 0.1155 x6
2 Cd 0.0000 0.0000 0.0000 x3
3 Co 0.0000 0.0000 0.5000 x3

# 12
A relaxed Pr6Cd2Co crystal. Source: Alexandria, functional PBE.

Values from the calculation:
- total magnetic moment (μB/f.u.) = 0.00
- crystal system = monoclinic
- DFT total energy (Ry per atom) = -0.3151
- density of states at the Fermi level (states/eV/f.u.) = 9.74

Lattice parameters (Å, degrees): 7.494 7.351 12.614 90.00 125.72 90.00
Space group P2_1/c (No. 14)
Inequivalent atoms, fractional coordinates:
1 Pr 0.180 0.000 0.255 x4
2 Pr 0.285 0.245 0.538 x4
3 Pr 0.289 0.749 0.038 x4
4 Cd 0.258 0.502 0.257 x4
5 Co 0.000 0.000 0.000 x2

# 13
A relaxed Pr3CdCo crystal. Source: Alexandria, functional PBE.

Values from the calculation:
- total magnetic moment (μB/f.u.) = 0.00
- crystal system = monoclinic
- energy above the lowest structure with this stoichiometry (meV/atom) = 0.0
- density of states at the Fermi level (states/eV/f.u.) = 5.94

Lattice parameters (Å, degrees): 7.576 4.805 8.422 90.00 111.42 90.00
Space group P2_1/m (No. 11)
Inequivalent atoms, fractional coordinates:
1 Pr 0.055 0.250 0.256 x2
2 Pr 0.308 0.250 0.906 x2
3 Pr 0.338 0.750 0.585 x2
4 Cd 0.305 0.750 0.177 x2
5 Co 0.068 0.250 0.581 x2

# 14
A relaxed Pr12Cd5Co3 crystal. Source: Alexandria, functional PBE.

Values from the calculation:
- total magnetic moment (μB/f.u.) = 0.00
- crystal system = cubic
- DFT total energy (Ry per atom) = -0.2794
- density of states at the Fermi level (states/eV/f.u.) = 20.42

Lattice parameters (Å, degrees): 17.646 17.646 17.646 90.00 90.00 90.00
Space group Ia-3d (No. 230)
Inequivalent atoms, fractional coordinates:
1 Pr 0.018 0.094 0.647 x96
2 Cd 0.000 0.000 0.000 x16
3 Cd 0.000 0.250 0.375 x24
4 Co 0.000 0.250 0.125 x24

# 15
A relaxed Pr12Cd6Co crystal. Source: Alexandria, functional PBE.

Values from the calculation:
- total magnetic moment (μB/f.u.) = 0.00
- crystal system = trigonal
- DFT total energy (Ry per atom) = -0.2769
- density of states at the Fermi level (states/eV/f.u.) = 26.32

Lattice parameters (Å, degrees): 12.5604 12.5604 13.4756 90.00 90.00 120.00
Space group R-3 (No. 148, hexagonal axes)
Inequivalent atoms, fractional coordinates:
1 Pr 0.0385 0.1884 0.3875 x18
2 Pr 0.0398 0.8532 0.8739 x18
3 Cd 0.0025 0.4020 0.2574 x18
4 Co 0.0000 0.0000 0.0000 x3

# 16
A relaxed Pr2CdCo crystal. Source: Alexandria, functional PBE.

Values from the calculation:
- total magnetic moment (μB/f.u.) = 0.67
- crystal system = cubic
- energy above the lowest structure with this stoichiometry (meV/atom) = 87.3
- density of states at the Fermi level (states/eV/f.u.) = 2.93

Lattice parameters (Å, degrees): 7.429 7.429 7.429 90.00 90.00 90.00
Space group Fm-3m (No. 225)
Inequivalent atoms, fractional coordinates:
1 Pr 0.250 0.250 0.250 x8
2 Cd 0.000 0.000 0.000 x4
3 Co 0.000 0.000 0.500 x4

# 17
A relaxed Pr2CdCo crystal. Source: Alexandria, functional PBE.

Values from the calculation:
- total magnetic moment (μB/f.u.) = 0.77
- crystal system = tetragonal
- energy above the lowest structure with this stoichiometry (meV/atom) = 0.0
- density of states at the Fermi level (states/eV/f.u.) = 3.54

Lattice parameters (Å, degrees): 3.570 3.570 7.983 90.00 90.00 90.00
Space group P4/mmm (No. 123)
Inequivalent atoms, fractional coordinates:
1 Pr 0.000 0.000 0.214 x2
2 Cd 0.500 0.500 0.500 x1
3 Co 0.500 0.500 0.000 x1

# 18
A relaxed Pr6Cd3Co crystal. Source: Alexandria, functional PBE.

Values from the calculation:
- total magnetic moment (μB/f.u.) = 0.00
- crystal system = monoclinic
- DFT total energy (Ry per atom) = -0.2920
- density of states at the Fermi level (states/eV/f.u.) = 10.23

Lattice parameters (Å, degrees): 5.670 9.263 12.570 90.00 115.01 90.00
Space group P2_1/c (No. 14)
Inequivalent atoms, fractional coordinates:
1 Pr 0.034 0.191 0.069 x4
2 Pr 0.281 0.519 0.228 x4
3 Pr 0.374 0.151 0.433 x4
4 Cd 0.187 0.640 0.737 x4
5 Cd 0.500 0.000 0.000 x2
6 Co 0.000 0.000 0.500 x2

# 19
A relaxed Pr7CdCo2 crystal. Source: Alexandria, functional PBE.

Values from the calculation:
- total magnetic moment (μB/f.u.) = 0.00
- crystal system = orthorhombic
- DFT total energy (Ry per atom) = -0.3525
- density of states at the Fermi level (states/eV/f.u.) = 9.46

Lattice parameters (Å, degrees): 9.380 13.686 5.123 90.00 90.00 90.00
Space group Cmmm (No. 65)
Inequivalent atoms, fractional coordinates:
1 Pr 0.000 0.000 0.000 x2
2 Pr 0.000 0.197 0.500 x4
3 Pr 0.180 0.369 0.000 x8
4 Cd 0.000 0.500 0.500 x2
5 Co 0.000 0.203 0.000 x4